# NaNdDy PBE optimized geometry
data_NaNdDy
_space_group_name_H-M_alt 'P 3 m 1'
_space_group_IT_number 156
_cell_length_a 3.5889
_cell_length_b 3.5889
_cell_length_c 9.2449
_cell_angle_alpha 90.00
_cell_angle_beta 90.00
_cell_angle_gamma 120.00
loop_
_space_group_symop_operation_xyz
'x,y,z'
'-y,x-y,z'
'-x+y,-x,z'
'-y,-x,z'
'-x+y,y,z'
'x,x-y,z'
loop_
_atom_site_label
_atom_site_type_symbol
_atom_site_fract_x
_atom_site_fract_y
_atom_site_fract_z
_atom_site_occupancy
Na1 Na 0.0000 0.0000 0.0000 1
Nd1 Nd 0.6667 0.3333 0.3530 1
Dy1 Dy 0.3333 0.6667 0.6556 1
# E above lowest polymorph: 14.6 meV/atom
# VASP energy: -3.4401 eV/atom
# Energy of formation: 0.123 eV/atom
# Magnetization: 0.000 μB/atom